## a
# CeAl4Ir2 (PBE-GGA, optimized geometry)
data_CeAl4Ir2
_cell_length_a 17.256
_cell_length_b 4.253
_cell_length_c 6.707
_cell_angle_alpha 90.00
_cell_angle_beta 90.00
_cell_angle_gamma 90.00
_symmetry_space_group_name_H-M 'P n m a'
_symmetry_Int_Tables_number 62
loop_
_symmetry_equiv_pos_as_xyz
'x,y,z'
'-x,-y,-z'
'-x+1/2,-y,z+1/2'
'x+1/2,y,-z+1/2'
'x+1/2,-y+1/2,-z+1/2'
'-x+1/2,y+1/2,z+1/2'
'-x,y+1/2,-z'
'x,-y+1/2,z'
loop_
_atom_site_label
_atom_site_type_symbol
_atom_site_fract_x
_atom_site_fract_y
_atom_site_fract_z
_atom_site_occupancy
Ce1 Ce 0.139 0.250 0.030 1
Al1 Al 0.034 0.750 0.843 1
Al2 Al 0.071 0.250 0.500 1
Al3 Al 0.186 0.750 0.344 1
Al4 Al 0.193 0.750 0.740 1
Ir1 Ir 0.040 0.750 0.247 1
Ir2 Ir 0.219 0.250 0.543 1
# crystal system	orthorhombic

## b
# CeAl4Ir2 (PBE-GGA, optimized geometry)
data_CeAl4Ir2
_cell_length_a 7.464
_cell_length_b 7.464
_cell_length_c 4.383
_cell_angle_alpha 90.00
_cell_angle_beta 90.00
_cell_angle_gamma 90.00
_symmetry_space_group_name_H-M 'P 42/m n m'
_symmetry_Int_Tables_number 136
_symmetry_space_group_name_Hall '-P 4n 2n'
loop_
_atom_site_label
_atom_site_type_symbol
_atom_site_fract_x
_atom_site_fract_y
_atom_site_fract_z
_atom_site_occupancy
Ce1 Ce 0.000 0.000 0.000 1
Al1 Al 0.088 0.338 0.500 1
Ir1 Ir 0.235 0.765 0.500 1
# crystal system	tetragonal

b takes first place; second place is 12 meV/atom up.

## a
# La2CeAl (PBE-GGA, optimized geometry)
data_La2CeAl
_cell_length_a 7.734
_cell_length_b 7.734
_cell_length_c 7.734
_cell_angle_alpha 90.00
_cell_angle_beta 90.00
_cell_angle_gamma 90.00
_symmetry_space_group_name_H-M 'F m -3 m'
_symmetry_Int_Tables_number 225
_symmetry_space_group_name_Hall '-F 4 2 3'
loop_
_atom_site_label
_atom_site_type_symbol
_atom_site_fract_x
_atom_site_fract_y
_atom_site_fract_z
_atom_site_occupancy
La1 La 0.250 0.250 0.250 1
Ce1 Ce 0.000 0.000 0.000 1
Al1 Al 0.000 0.000 0.500 1
# crystal system	cubic

## b
# La2CeAl (PBE-GGA, optimized geometry)
data_La2CeAl
_cell_length_a 3.669
_cell_length_b 3.669
_cell_length_c 8.833
_cell_angle_alpha 90.00
_cell_angle_beta 90.00
_cell_angle_gamma 90.00
_symmetry_space_group_name_H-M 'P 4/m m m'
_symmetry_Int_Tables_number 123
_symmetry_space_group_name_Hall '-P 4 2'
loop_
_atom_site_label
_atom_site_type_symbol
_atom_site_fract_x
_atom_site_fract_y
_atom_site_fract_z
_atom_site_occupancy
La1 La 0.000 0.000 0.224 1
Ce1 Ce 0.500 0.500 0.500 1
Al1 Al 0.500 0.500 0.000 1
# crystal system	tetragonal

b takes first place; second place is 95 meV/atom up.

## a
# La2CeAl (PBE-GGA, optimized geometry)
data_La2CeAl
_cell_length_a 4.932
_cell_length_b 4.932
_cell_length_c 4.791
_cell_angle_alpha 90.00
_cell_angle_beta 90.00
_cell_angle_gamma 90.00
_symmetry_space_group_name_H-M 'P 4/m m m'
_symmetry_Int_Tables_number 123
_symmetry_space_group_name_Hall '-P 4 2'
loop_
_atom_site_label
_atom_site_type_symbol
_atom_site_fract_x
_atom_site_fract_y
_atom_site_fract_z
_atom_site_occupancy
La1 La 0.000 0.500 0.000 1
Ce1 Ce 0.000 0.000 0.500 1
Al1 Al 0.500 0.500 0.500 1
# crystal system	tetragonal

## b
# La2CeAl (PBE-GGA, optimized geometry)
data_La2CeAl
_cell_length_a 5.4571
_cell_length_b 5.4571
_cell_length_c 13.6397
_cell_angle_alpha 90.00
_cell_angle_beta 90.00
_cell_angle_gamma 120.00
_symmetry_space_group_name_H-M 'R 3 m'
_symmetry_Int_Tables_number 160
_symmetry_space_group_name_Hall 'R 3 -2"'
loop_
_atom_site_label
_atom_site_type_symbol
_atom_site_fract_x
_atom_site_fract_y
_atom_site_fract_z
_atom_site_occupancy
La1 La 0.0000 0.0000 0.0000 1
La2 La 0.0000 0.0000 0.2999 1
Ce1 Ce 0.0000 0.0000 0.5002 1
Al1 Al 0.0000 0.0000 0.7454 1
# crystal system	trigonal

a takes first place; second place is 99 meV/atom up.

## a
# LaCe2Al (PBE-GGA, optimized geometry)
data_LaCe2Al
_cell_length_a 3.514
_cell_length_b 3.514
_cell_length_c 9.049
_cell_angle_alpha 90.00
_cell_angle_beta 90.00
_cell_angle_gamma 90.00
_symmetry_space_group_name_H-M 'P 4/m m m'
_symmetry_Int_Tables_number 123
_symmetry_space_group_name_Hall '-P 4 2'
loop_
_atom_site_label
_atom_site_type_symbol
_atom_site_fract_x
_atom_site_fract_y
_atom_site_fract_z
_atom_site_occupancy
La1 La 0.000 0.000 0.000 1
Ce1 Ce 0.500 0.500 0.284 1
Al1 Al 0.000 0.000 0.500 1
# crystal system	tetragonal

## b
# LaCe2Al (PBE-GGA, optimized geometry)
data_LaCe2Al
_cell_length_a 4.736
_cell_length_b 4.736
_cell_length_c 4.882
_cell_angle_alpha 90.00
_cell_angle_beta 90.00
_cell_angle_gamma 90.00
_symmetry_space_group_name_H-M 'P 4/m m m'
_symmetry_Int_Tables_number 123
_symmetry_space_group_name_Hall '-P 4 2'
loop_
_atom_site_label
_atom_site_type_symbol
_atom_site_fract_x
_atom_site_fract_y
_atom_site_fract_z
_atom_site_occupancy
La1 La 0.000 0.000 0.000 1
Ce1 Ce 0.000 0.500 0.500 1
Al1 Al 0.500 0.500 0.000 1
# crystal system	tetragonal

b takes first place; second place is 60 meV/atom up.

## a
# LaCeAl (PBE-GGA, optimized geometry)
data_LaCeAl
_cell_length_a 4.4532
_cell_length_b 4.4532
_cell_length_c 28.9949
_cell_angle_alpha 90.00
_cell_angle_beta 90.00
_cell_angle_gamma 120.00
_symmetry_space_group_name_H-M 'R -3 m'
_symmetry_Int_Tables_number 166
_symmetry_space_group_name_Hall '-R 3 2"'
loop_
_atom_site_label
_atom_site_type_symbol
_atom_site_fract_x
_atom_site_fract_y
_atom_site_fract_z
_atom_site_occupancy
La1 La 0.0000 0.0000 0.0695 1
Ce1 Ce 0.0000 0.0000 0.2067 1
Al1 Al 0.0000 0.0000 0.3290 1
# crystal system	trigonal

## b
# LaCeAl (PBE-GGA, optimized geometry)
data_LaCeAl
_cell_length_a 4.343
_cell_length_b 16.043
_cell_length_c 4.740
_cell_angle_alpha 90.00
_cell_angle_beta 90.00
_cell_angle_gamma 90.00
_symmetry_space_group_name_H-M 'C m c m'
_symmetry_Int_Tables_number 63
_symmetry_space_group_name_Hall '-C 2c 2'
loop_
_atom_site_label
_atom_site_type_symbol
_atom_site_fract_x
_atom_site_fract_y
_atom_site_fract_z
_atom_site_occupancy
La1 La 0.000 0.064 0.250 1
Ce1 Ce 0.000 0.246 0.750 1
Al1 Al 0.000 0.394 0.250 1
# crystal system	orthorhombic

## c
# LaCeAl (PBE-GGA, optimized geometry)
data_LaCeAl
_cell_length_a 7.718
_cell_length_b 4.454
_cell_length_c 9.436
_cell_angle_alpha 90.00
_cell_angle_beta 90.05
_cell_angle_gamma 90.00
_symmetry_space_group_name_H-M 'C 1 2/m 1'
_symmetry_Int_Tables_number 12
loop_
_symmetry_equiv_pos_as_xyz
'x,y,z'
'-x,-y,-z'
'-x,y,-z'
'x,-y,z'
'x+1/2,y+1/2,z'
'-x+1/2,-y+1/2,-z'
'-x+1/2,y+1/2,-z'
'x+1/2,-y+1/2,z'
loop_
_atom_site_label
_atom_site_type_symbol
_atom_site_fract_x
_atom_site_fract_y
_atom_site_fract_z
_atom_site_occupancy
La1 La 0.166 0.000 0.142 1
Ce1 Ce 0.000 0.500 0.302 1
Al1 Al 0.167 0.000 0.500 1
# crystal system	monoclinic

## d
# LaCeAl (PBE-GGA, optimized geometry)
data_LaCeAl
_cell_length_a 5.2773
_cell_length_b 5.2773
_cell_length_c 3.1027
_cell_angle_alpha 90.00
_cell_angle_beta 90.00
_cell_angle_gamma 120.00
_symmetry_space_group_name_H-M 'P -6 m 2'
_symmetry_Int_Tables_number 187
_symmetry_space_group_name_Hall 'P -6 2'
loop_
_atom_site_label
_atom_site_type_symbol
_atom_site_fract_x
_atom_site_fract_y
_atom_site_fract_z
_atom_site_occupancy
La1 La 0.0000 0.0000 0.0000 1
Ce1 Ce 0.6667 0.3333 0.0000 1
Al1 Al 0.3333 0.6667 0.5000 1
# crystal system	hexagonal

b takes first place; second place is 81 meV/atom up.